14
Lattice="-4.588 4.588 4.709 4.588 -4.588 4.709 4.588 4.588 -4.709" Properties=species:S:1:pos:R:3 comment="SmEr5Tl8 (PBE-GGA, relaxed)" formation_enthalpy_0k_kj_per_mol_fu=-290 energy_ev_per_cell=-49.47 pbc="T T T"
Sm 0.000 0.000 0.000
Er 3.388 2.100 -1.338
Er 4.588 0.000 2.354
Er 2.488 -1.200 6.047
Er 1.200 2.488 3.371
Er 2.100 5.788 1.338
Tl 6.110 0.870 -0.311
Tl 1.495 -0.675 2.948
Tl 0.870 3.066 0.311
Tl 3.093 5.263 -1.761
Tl 3.913 3.093 1.761
Tl 3.718 1.522 5.020
Tl 0.675 1.495 6.470
Tl -1.522 3.718 4.398